VASP calculation (PBE) on a geometry-optimized In2TcSb structure.

For the total magnetic moment, the calculation gives 0.00 Bohr magnetons per cell. As for the space group: C2/m (12). As for the uncorrected formation energy: 0.408 eV/atom.

a = 5.5143 Å, b = 5.5143 Å, c = 4.7104 Å
α = 84.39°, β = 84.39°, γ = 36.36°
With the nearest neighbours (Å) after each atom.
Positions (direct):
In 0.9889 0.9889 0.0146  4 In 2.83-3.02, 1 Sb 2.91, 3 Tc 3.06-3.14
In 0.5111 0.5111 0.4854  4 In 2.83-3.02, 1 Sb 2.91, 3 Tc 3.06-3.14
Sb 0.7500 0.7500 0.7500  2 In 2.91, 4 Tc 2.92
Tc 0.2500 0.2500 0.2500  4 Sb 2.92, 6 In 3.06-3.14